No. 1
ZrWS2: PBEsol geometry, meta-GGA SCAN.

```
ZrWS2
1.0
-1.171 -0.365 -2.818
1.873 -0.202 -2.428
0.561 -8.580 -0.797
S Zr W
2 1 1
Direct
0.899 0.899 0.304
0.101 0.101 0.696
0.000 0.000 0.000
0.500 0.500 0.500
```

Density of states at the Fermi level   2.2 states/eV/cell
Calculated volume   17.28 Å³ per atom
SG   R-3m (166)
E_tot   -30.285 eV per atom


No. 2
AlAsPtBr2: PBEsol geometry, meta-GGA SCAN.

```
AlAsPtBr2
1.0
4.701 0.000 0.000
0.000 4.701 0.000
0.000 0.000 5.137
As Br Pt Al
1 2 1 1
Direct
0.000 0.000 0.500
0.000 0.500 0.000
0.500 0.000 0.000
0.500 0.500 0.500
0.000 0.000 0.000
```

Density of states at the Fermi level   2.5 states/eV/cell
Calculated volume   22.70 Å³ per atom
SG   P4/mmm (123)
E_tot   -26.851 eV per atom


No. 3
BeAsCl2: PBEsol geometry, meta-GGA SCAN.

```
BeAsCl2
1.0
-1.844 -1.733 -2.018
1.298 -1.301 -2.665
2.300 -10.402 4.233
Be As Cl
1 1 2
Direct
0.000 0.000 0.000
0.500 0.500 0.500
0.948 0.948 0.157
0.052 0.052 0.843
```

Density of states at the Fermi level   1.4 states/eV/cell
Calculated volume   25.66 Å³ per atom
SG   R-3m (166)
E_tot   -10.399 eV per atom


No. 4
AlCrAu: PBEsol geometry, meta-GGA SCAN.

```
AlCrAu
1.0
-0.987 1.413 -2.077
1.149 -1.731 -1.723
-4.923 -3.122 1.969
Cr Au Al
1 1 1
Direct
0.661 0.661 0.322
0.330 0.330 0.659
0.009 0.009 0.019
```

Energy relative to the elements   -0.01 eV/atom
Density of states at the Fermi level   1.3 states/eV/cell
Calculated volume   14.20 Å³ per atom
SG   I4mm (107)
E_tot   -31.774 eV per atom


No. 5
Mn2SnP3O12: PBEsol geometry, meta-GGA SCAN.

```
Mn2SnP3O12
1.0
-8.072 -2.510 -0.583
-3.113 -1.801 -7.672
-1.569 -8.105 -1.908
Mn Sn P O
4 2 6 24
Direct
0.150 0.150 0.150
0.350 0.350 0.350
0.650 0.650 0.650
0.850 0.850 0.850
0.000 0.000 0.000
0.500 0.500 0.500
0.750 0.049 0.451
0.049 0.451 0.750
0.451 0.750 0.049
0.549 0.250 0.951
0.951 0.549 0.250
0.250 0.951 0.549
0.322 0.102 0.512
0.512 0.322 0.102
0.905 0.068 0.247
0.102 0.512 0.322
0.822 0.012 0.602
0.595 0.253 0.432
0.068 0.247 0.905
0.253 0.432 0.595
0.398 0.178 0.988
0.432 0.595 0.253
0.753 0.095 0.932
0.988 0.398 0.178
0.012 0.602 0.822
0.247 0.905 0.068
0.568 0.405 0.747
0.602 0.822 0.012
0.747 0.568 0.405
0.932 0.753 0.095
0.405 0.747 0.568
0.178 0.988 0.398
0.898 0.488 0.678
0.095 0.932 0.753
0.488 0.678 0.898
0.678 0.898 0.488
```

Density of states at the Fermi level   9.7 states/eV/cell
Calculated volume   12.38 Å³ per atom
SG   R-3c (167)
E_tot   -12.123 eV per atom


No. 6
TaMoW2: PBEsol geometry, meta-GGA SCAN.

```
TaMoW2
1.0
4.488 0.000 0.000
2.244 3.887 0.000
2.244 1.296 3.664
Mo W Ta
1 2 1
Direct
0.000 0.000 0.000
0.250 0.250 0.250
0.750 0.750 0.750
0.500 0.500 0.500
```

Energy relative to the elements   -0.08 eV/atom
Density of states at the Fermi level   1.5 states/eV/cell
Calculated volume   15.98 Å³ per atom
SG   Fm-3m (225)
E_tot   -60.294 eV per atom


No. 7
Sr3ZnOs: PBEsol geometry, meta-GGA SCAN.

```
Sr3ZnOs
1.0
5.682 0.000 0.000
0.000 5.682 0.000
0.000 0.000 5.682
Sr Zn Os
3 1 1
Direct
0.000 0.500 0.000
0.000 0.000 0.500
0.500 0.000 0.000
0.500 0.500 0.500
0.000 0.000 0.000
```

Energy relative to the elements   0.49 eV/atom
Density of states at the Fermi level   4.1 states/eV/cell
Calculated volume   36.69 Å³ per atom
SG   Pm-3m (221)
E_tot   -29.955 eV per atom


No. 8
TcS2Br: PBEsol geometry, meta-GGA SCAN.

```
TcS2Br
1.0
-0.946 0.622 -3.303
2.364 -0.208 -2.562
-1.147 -7.125 -2.858
S Tc Br
2 1 1
Direct
0.890 0.890 0.329
0.110 0.110 0.671
0.500 0.500 0.500
0.000 0.000 0.000
```

Density of states at the Fermi level   1.4 states/eV/cell
Calculated volume   19.79 Å³ per atom
SG   R-3m (166)
E_tot   -18.685 eV per atom


No. 9
Zn2TcAu: PBEsol geometry, meta-GGA SCAN.

```
Zn2TcAu
1.0
4.369 0.000 0.000
2.184 3.783 0.000
2.184 1.261 3.567
Au Tc Zn
1 1 2
Direct
0.500 0.500 0.500
0.250 0.250 0.250
0.000 0.000 0.000
0.750 0.750 0.750
```

Energy relative to the elements   0.21 eV/atom
Density of states at the Fermi level   2.1 states/eV/cell
Calculated volume   14.74 Å³ per atom
SG   F-43m (216)
E_tot   -32.603 eV per atom


No. 10
ReMoSe2: PBEsol geometry, meta-GGA SCAN.

```
ReMoSe2
1.0
-0.751 2.842 -0.691
-1.664 -2.728 -2.812
-3.630 -0.040 3.777
Mo Re Se
1 1 2
Direct
0.500 0.000 0.000
0.000 0.000 0.500
0.751 0.502 0.749
0.249 0.498 0.251
```

Density of states at the Fermi level   3.9 states/eV/cell
Calculated volume   15.37 Å³ per atom
SG   C2/m (12)
E_tot   -36.084 eV per atom


No. 11
SrNiMo3: PBEsol geometry, meta-GGA SCAN.

```
SrNiMo3
1.0
-3.702 0.984 -2.511
-2.348 -3.275 2.177
-1.328 3.047 3.151
Sr Mo Ni
1 3 1
Direct
0.000 0.000 0.000
0.000 0.500 0.000
0.000 0.000 0.500
0.500 0.000 0.000
0.500 0.500 0.500
```

Energy relative to the elements   3.48 eV/atom
Density of states at the Fermi level   6.7 states/eV/cell
Calculated volume   19.21 Å³ per atom
SG   Pm-3m (221)
E_tot   -25.137 eV per atom


No. 12
MgSb2Ru: PBEsol geometry, meta-GGA SCAN.

```
MgSb2Ru
1.0
4.111 0.000 0.000
0.000 4.111 0.000
-2.055 -2.055 4.594
Mg Ru Sb
1 1 2
Direct
0.500 0.500 0.000
0.250 0.750 0.500
0.000 0.000 0.000
0.750 0.250 0.500
```

Density of states at the Fermi level   2.7 states/eV/cell
Calculated volume   19.41 Å³ per atom
SG   I-4m2 (119)
E_tot   -28.405 eV per atom